Entry 1:
DFT (PBE) results for a relaxed HoTe2Au crystal.

Cell and atoms, written as POSCAR:
```
HoTe2Au
1.0
2.133 1.231 7.188
-2.133 1.231 7.188
0.000 -2.463 7.188
Ho Te Au
1 2 1
Direct
0.000 0.000 0.000
0.576 0.576 0.576
0.752 0.752 0.752
0.161 0.161 0.161
```

Crystal system: trigonal
Total moment (μB/cell): 0.00
VASP energy (Ha/atom): -0.1540
ρ (Mg/m³): 9.05

=====

Entry 2:
DFT (PBE) results for a relaxed LiLuAlZn crystal.

Cell and atoms, written as POSCAR:
```
LiLuAlZn
1.0
0.000 3.273 3.273
3.273 0.000 3.273
3.273 3.273 0.000
Li Lu Al Zn
1 1 1 1
Direct
0.000 0.000 0.000
0.250 0.250 0.250
0.750 0.750 0.750
0.500 0.500 0.500
```

Crystal system: cubic
Total moment (μB/cell): 0.00
VASP energy (Ha/atom): -0.1147
ρ (Mg/m³): 6.49
Formation enthalpy at 0 K (kcal/mol of atoms): -5.9